Entry 1:
A plane-wave DFT calculation with GGA-PBE was carried out for an optimized crystal structure of V3GaOs.

POSCAR file:
```
V3GaOs
1.0
4.586 0.000 0.000
0.000 4.586 0.000
0.000 0.000 4.586
V Ga Os
3 1 1
direct
0.000 0.000 0.500 V
0.000 0.500 0.000 V
0.500 0.000 0.000 V
0.500 0.500 0.500 Ga
0.000 0.000 0.000 Os
```

Properties
Energy of formation in eV per atom: 0.991
VASP energy in eV per cell: -36.66
Energy relative to the lowest polymorph listed for this composition in meV per atom: 0.0

Entry 2:
A plane-wave DFT calculation with GGA-PBE was carried out for an optimized crystal structure of VGaOs.

POSCAR file:
```
VGaOs
1.0
-1.486 1.486 10.357
1.486 -1.486 10.357
1.486 1.486 -10.357
V Ga Os
2 2 2
direct
0.212 0.212 0.000 V
0.788 0.788 0.000 V
0.060 0.060 0.000 Ga
0.940 0.940 0.000 Ga
0.356 0.356 0.000 Os
0.644 0.644 0.000 Os
```

Properties
Energy of formation in eV per atom: -0.235
VASP energy in eV per cell: -48.16

Entry 3:
A plane-wave DFT calculation with GGA-PBE was carried out for an optimized crystal structure of VGaOs2.

POSCAR file:
```
VGaOs2
1.0
1.388 0.802 8.961
-1.388 0.802 8.961
0.000 -1.603 8.961
V Ga Os
1 1 2
direct
0.000 0.000 0.000 V
0.500 0.500 0.500 Ga
0.087 0.087 0.087 Os
0.913 0.913 0.913 Os
```

Properties
Energy of formation in eV per atom: 0.464
VASP energy in eV per cell: -32.75

Entry 4:
A plane-wave DFT calculation with GGA-PBE was carried out for an optimized crystal structure of VGaOs2.

POSCAR file:
```
VGaOs2
1.0
3.039 0.000 0.000
0.000 3.039 0.000
0.000 0.000 6.038
V Ga Os
1 1 2
direct
0.000 0.000 0.000 V
0.000 0.000 0.500 Ga
0.500 0.500 0.244 Os
0.500 0.500 0.756 Os
```

Properties
Energy of formation in eV per atom: -0.219
VASP energy in eV per cell: -35.48

Entry 5:
A plane-wave DFT calculation with GGA-PBE was carried out for an optimized crystal structure of VGaOs.

POSCAR file:
```
VGaOs
1.0
2.295 -4.115 0.000
2.295 4.115 0.000
-1.161 0.000 4.495
V Ga Os
2 2 2
direct
0.096 0.904 0.750 V
0.904 0.096 0.250 V
0.418 0.582 0.750 Ga
0.582 0.418 0.250 Ga
0.247 0.753 0.250 Os
0.753 0.247 0.750 Os
```

Properties
Energy of formation in eV per atom: -0.133
VASP energy in eV per cell: -47.55

Entry 6:
A plane-wave DFT calculation with GGA-PBE was carried out for an optimized crystal structure of V6GaOs.

POSCAR file:
```
V6GaOs
1.0
4.246 0.000 0.000
0.000 2.999 4.261
0.000 -2.999 4.261
V Ga Os
6 1 1
direct
0.000 0.000 0.000 V
0.000 0.015 0.490 V
0.000 0.490 0.015 V
0.500 0.254 0.760 V
0.500 0.255 0.255 V
0.500 0.760 0.254 V
0.500 0.759 0.759 Ga
0.000 0.509 0.509 Os
```

Properties
Energy of formation in eV per atom: -0.225
VASP energy in eV per cell: -70.77

Entry 7:
A plane-wave DFT calculation with GGA-PBE was carried out for an optimized crystal structure of VGaOs.

POSCAR file:
```
VGaOs
1.0
2.166 -4.415 0.000
2.166 4.415 0.000
0.000 0.000 4.394
V Ga Os
2 2 2
direct
0.075 0.925 0.750 V
0.925 0.075 0.250 V
0.247 0.753 0.250 Ga
0.753 0.247 0.750 Ga
0.419 0.581 0.750 Os
0.581 0.419 0.250 Os
```

Properties
Energy of formation in eV per atom: -0.171
VASP energy in eV per cell: -47.78

Entry 8:
A plane-wave DFT calculation with GGA-PBE was carried out for an optimized crystal structure of V5GaOs6.

POSCAR file:
```
V5GaOs6
1.0
-2.133 3.021 6.431
2.133 -3.021 6.431
2.133 3.021 -6.431
V Ga Os
5 1 6
direct
0.000 0.000 0.000 V
0.165 0.665 0.500 V
0.329 0.329 0.000 V
0.671 0.671 0.000 V
0.835 0.335 0.500 V
0.500 0.000 0.500 Ga
0.084 0.833 0.251 Os
0.249 0.500 0.749 Os
0.418 0.167 0.251 Os
0.582 0.833 0.749 Os
0.751 0.500 0.251 Os
0.916 0.167 0.749 Os
```

Properties
Energy of formation in eV per atom: -0.248
VASP energy in eV per cell: -118.98

Entry 9:
A plane-wave DFT calculation with GGA-PBE was carried out for an optimized crystal structure of VGaOs.

POSCAR file:
```
VGaOs
1.0
5.259 -1.414 0.000
5.259 1.414 0.000
-1.673 0.000 5.768
V Ga Os
2 2 2
direct
0.021 0.021 0.316 V
0.979 0.979 0.684 V
0.359 0.359 0.958 Ga
0.641 0.641 0.042 Ga
0.309 0.309 0.369 Os
0.691 0.691 0.631 Os
```

Properties
Energy of formation in eV per atom: -0.149
VASP energy in eV per cell: -47.64

Entry 10:
A plane-wave DFT calculation with GGA-PBE was carried out for an optimized crystal structure of VGaOs.

POSCAR file:
```
VGaOs
1.0
2.180 -4.116 0.000
2.180 4.116 0.000
0.000 0.000 4.810
V Ga Os
2 2 2
direct
0.244 0.756 0.500 V
0.756 0.244 0.000 V
0.427 0.573 0.949 Ga
0.573 0.427 0.449 Ga
0.102 0.898 0.031 Os
0.898 0.102 0.531 Os
```

Properties
Energy of formation in eV per atom: -0.145
VASP energy in eV per cell: -47.62

Entry 11:
A plane-wave DFT calculation with GGA-PBE was carried out for an optimized crystal structure of VGaOs.

POSCAR file:
```
VGaOs
1.0
6.401 -1.425 0.000
6.401 1.425 0.000
-0.510 0.000 4.716
V Ga Os
2 2 2
direct
0.000 0.000 0.000 V
0.143 0.143 0.404 V
0.322 0.322 0.787 Ga
0.822 0.822 0.285 Ga
0.485 0.485 0.499 Os
0.659 0.659 0.904 Os
```

Properties
Energy of formation in eV per atom: -0.193
VASP energy in eV per cell: -47.91

Entry 12:
A plane-wave DFT calculation with GGA-PBE was carried out for an optimized crystal structure of V2GaOs2.

POSCAR file:
```
V2GaOs2
1.0
7.238 0.000 0.000
0.000 7.238 0.000
0.000 0.000 2.869
V Ga Os
4 2 4
direct
0.159 0.341 0.000 V
0.341 0.841 0.000 V
0.659 0.159 0.000 V
0.841 0.659 0.000 V
0.000 0.000 0.500 Ga
0.500 0.500 0.500 Ga
0.137 0.637 0.500 Os
0.363 0.137 0.500 Os
0.637 0.863 0.500 Os
0.863 0.363 0.500 Os
```

Properties
Energy of formation in eV per atom: -0.014
VASP energy in eV per cell: -87.59